MnRe4: relaxed, PBE-GGA.

Geometry as CIF:
```
data_MnRe4
_chemical_formula_sum 'Mn1 Re4'
_symmetry_space_group_name_H-M 'P m -3 m'
_symmetry_Int_Tables_number 221
_symmetry_space_group_name_Hall '-P 4 2 3'
_cell_length_a 4.3585
_cell_length_b 4.3585
_cell_length_c 4.3585
_cell_angle_alpha 90.00
_cell_angle_beta 90.00
_cell_angle_gamma 90.00
loop_
_atom_site_label
_atom_site_type_symbol
_atom_site_fract_x
_atom_site_fract_y
_atom_site_fract_z
_atom_site_occupancy
Mn1 Mn 0.0000 0.0000 0.0000 1
Re1 Re 0.0000 0.0000 0.5000 1
Re2 Re 0.5000 0.5000 0.5000 1
```

Results
Energy of formation   1.632 eV/atom
Excess energy over the best structure of this formula in the dataset   1554 meV/atom